[1]
Material: MnV2Cl6
Method: DFT, PBE
State: optimized geometry

Unit cell a=3.4368 b=6.5946 c=9.1843 alpha=92.49 beta=90.00 gamma=105.10
Each line ends with the local moment (μB).
Fractional positions:
Cl 0.1283 0.2566 0.2723  0.02
Cl 0.1224 0.2448 0.9262  0.00
Cl 0.8776 0.7552 0.0738  0.00
Cl 0.3872 0.7743 0.3841  0.07
Cl 0.8717 0.7434 0.7277  0.02
Cl 0.6128 0.2257 0.6159  0.07
V 0.2539 0.5079 0.1041  0.04
V 0.7461 0.4921 0.8959  0.04
Mn 0.0000 0.0000 0.5000  4.38

## Properties
**VASP energy**: -5.19 eV/atom
**Formation energy from raw total energies**: -913 meV/atom
**Energy above the most stable polymorph in this dataset**: 202 meV per atom
**Calculated density**: 3.06 g cm⁻³
**Size of the total moment**: 4.99 μB/cell
**SG**: No. 12
**Crystal system**: monoclinic


[2]
Material: SbH2Cl5
Method: DFT, PBE
State: optimized geometry

Unit cell a=9.6145 b=9.6145 c=15.6804 alpha=90.00 beta=90.00 gamma=160.67
Fractional positions:
Cl 0.0255 0.9745 0.8708
Cl 0.3370 0.6630 0.9434
Cl 0.3370 0.6630 0.5566
Cl 0.0255 0.9745 0.6292
Cl 0.9745 0.0255 0.1292
Cl 0.6630 0.3370 0.0566
Cl 0.9745 0.0255 0.3708
Cl 0.2814 0.7186 0.2500
Cl 0.6630 0.3370 0.4434
Cl 0.7186 0.2814 0.7500
Sb 0.1038 0.8962 0.7500
Sb 0.8962 0.1038 0.2500
H 0.1427 0.8573 0.4361
H 0.8573 0.1427 0.9361
H 0.8573 0.1427 0.5639
H 0.1427 0.8573 0.0639

## Properties
**VASP energy**: -2.82 eV/atom
**Calculated density**: 2.08 g cm⁻³
**Size of the total moment**: 0.00 μB/cell
**SG**: No. 63
**Crystal system**: orthorhombic


[3]
Material: BaBi2B2
Method: DFT, PBE
State: optimized geometry

Unit cell a=4.7286 b=4.7286 c=6.4917 alpha=68.64 beta=68.64 gamma=90.00
Fractional positions:
B 0.7500 0.2500 0.5000
B 0.2500 0.7500 0.5000
Ba 0.0000 0.0000 0.0000
Bi 0.6653 0.6653 0.6695
Bi 0.3347 0.3347 0.3305

## Properties
**VASP energy**: -4.03 eV/atom
**Energy above the most stable polymorph in this dataset**: 0 meV per atom
**Calculated density**: 7.70 g cm⁻³
**Size of the total moment**: 0.00 μB/cell
**SG**: No. 139
**Crystal system**: tetragonal
**ΔH_f (0 K)**: 0.5761 eV/atom


[4]
Material: Ca3GeP3
Method: DFT, PBE
State: optimized geometry

Unit cell a=6.2070 b=9.5764 c=11.8574 alpha=90.00 beta=90.00 gamma=108.91
Fractional positions:
Ca 0.8212 0.0000 0.3536
Ca 0.6444 0.6457 0.6332
Ca 0.6788 0.0000 0.8536
Ca 0.1444 0.6457 0.8668
Ca 0.3556 0.3543 0.3668
Ca 0.5013 0.6457 0.1332
Ca 0.1788 0.0000 0.6464
Ca 0.4987 0.3543 0.8668
Ca 0.3212 0.0000 0.1464
Ca 0.8556 0.3543 0.1332
Ca 0.0013 0.6457 0.3668
Ca 0.9987 0.3543 0.6332
P 0.1242 0.6742 0.6222
P 0.2794 0.0000 0.3884
P 0.2206 0.0000 0.8884
P 0.9500 0.3258 0.8778
P 0.4500 0.3258 0.6222
P 0.8758 0.3258 0.3778
P 0.5500 0.6742 0.3778
P 0.3758 0.3258 0.1222
P 0.7206 0.0000 0.6116
P 0.7794 0.0000 0.1116
P 0.6242 0.6742 0.8778
P 0.0500 0.6742 0.1222
Ge 0.4115 0.8229 0.5000
Ge 0.9115 0.8229 0.0000
Ge 0.5885 0.1771 0.5000
Ge 0.0885 0.1771 0.0000

## Properties
**VASP energy**: -4.67 eV/atom
**Energy above the most stable polymorph in this dataset**: 0 meV per atom
**Calculated density**: 2.85 g cm⁻³
**Size of the total moment**: 0.00 μB/cell
**SG**: No. 64
**Crystal system**: orthorhombic
**ΔH_f (0 K)**: -0.8315 eV/atom


[5]
Material: NdGe2Pd9
Method: DFT, PBE
State: optimized geometry

Unit cell a=6.7550 b=8.4551 c=8.4551 alpha=80.82 beta=66.46 gamma=66.46
Fractional positions:
Pd 0.4331 0.4272 0.8182
Pd 0.6103 0.0728 0.3182
Pd 0.1397 0.1818 0.4272
Pd 0.0714 0.3182 0.9272
Pd 0.6103 0.3182 0.0728
Pd 0.1397 0.4272 0.1818
Pd 0.0013 0.6818 0.9272
Pd 0.7500 0.5000 0.5000
Pd 0.3169 0.6818 0.0728
Pd 0.0013 0.9272 0.6818
Pd 0.3169 0.0728 0.6818
Pd 0.7487 0.5728 0.8182
Pd 0.7487 0.8182 0.5728
Pd 0.0000 0.0000 0.0000
Pd 0.4331 0.8182 0.4272
Pd 0.6786 0.1818 0.5728
Pd 0.6786 0.5728 0.1818
Pd 0.0714 0.9272 0.3182
Ge 0.8750 0.2500 0.7500
Ge 0.8750 0.2500 0.2500
Ge 0.3750 0.7500 0.7500
Ge 0.8750 0.7500 0.2500
Nd 0.2500 0.5000 0.5000
Nd 0.5000 0.0000 0.0000

## Properties
**VASP energy**: -5.57 eV/atom
**Calculated density**: 10.21 g cm⁻³
**Size of the total moment**: 0.00 μB/cell
**SG**: No. 141
**Crystal system**: tetragonal
**ΔH_f (0 K)**: -0.5070 eV/atom


[6]
Material: Sc2PtRh
Method: DFT, PBE
State: optimized geometry

Unit cell a=8.8918 b=8.8918 c=8.8918 alpha=21.25 beta=21.25 gamma=21.25
Fractional positions:
Pt 0.5001 0.5001 0.5001
Rh 0.7498 0.7498 0.7498
Sc 0.0162 0.0162 0.0162
Sc 0.2340 0.2340 0.2340

## Properties
**VASP energy**: -6.86 eV/atom
**Calculated density**: 7.96 g cm⁻³
**Size of the total moment**: 0.00 μB/cell
**SG**: No. 160
**Crystal system**: trigonal
**ΔH_f (0 K)**: -0.3485 eV/atom